CoIr2Cl: relaxed, PBE.

Properties
Magnetization in Bohr magnetons per cell: 2.092
DFT total energy in eV per formula unit: -24.620
N(E_F) in states/eV per atom: 1.2706
Energy relative to the lowest polymorph listed for this composition in meV/atom: 100

extended XYZ file:
```
4
Lattice="8.5339 -0.0025 -0.0015 8.0710 2.7722 -0.0015 8.0710 1.3462 2.4234" Properties=species:S:1:pos:R:3 pbc="T T T"
Ir 0.1255 0.0209 0.0123
Ir 12.2125 2.0370 1.1979
Co 18.5069 3.0869 1.8153
Cl 6.1690 1.0290 0.6051
```